{"formula": "TbPm5Tm", "functional": "PBE", "state": "relaxed", "lattice": [[5.392, -3.322, 0.000], [5.392, 3.322, 0.000], [-0.922, 0.000, 13.298]], "species": ["Tb", "Tb", "Pm", "Pm", "Pm", "Pm", "Pm", "Pm", "Pm", "Pm", "Pm", "Pm", "Tm", "Tm"], "frac_coords": [[0.227, 0.773, 0.750], [0.773, 0.227, 0.250], [0.243, 0.266, 0.658], [0.244, 0.756, 0.250], [0.266, 0.243, 0.158], [0.324, 0.343, 0.921], [0.343, 0.324, 0.421], [0.657, 0.676, 0.579], [0.676, 0.657, 0.079], [0.734, 0.757, 0.842], [0.756, 0.244, 0.750], [0.757, 0.734, 0.342], [0.000, 0.000, 0.000], [0.000, 0.000, 0.500]], "formation_energy_ev_per_atom": 0.16, "total_energy_ev_per_atom": -4.5375}